# 1
Ho2Pt3Au2: optimized geometry, PBE.

Lattice parameters (Å, degrees): 5.2768 5.2768 8.2005 116.80 116.80 46.53
Atoms (fractional coordinates):
1 Ho 0.1957 0.1957 0.2815
2 Ho 0.8043 0.8043 0.7185
3 Pt 0.4725 0.4725 0.6447
4 Pt 0.5000 0.5000 0.0000
5 Pt 0.5275 0.5275 0.3553
6 Au 0.1607 0.1607 0.8805
7 Au 0.8393 0.8393 0.1195

Properties
- formation energy (eV/atom) = -0.830
- SG = C2/m


# 2
La3CoPb: optimized geometry, PBE.

Lattice parameters (Å, degrees): 6.8824 6.8824 9.0221 93.04 93.04 41.81
Atoms (fractional coordinates):
1 La 0.0540 0.0540 0.3658
2 La 0.2605 0.2605 0.6702
3 La 0.4280 0.4280 0.1795
4 La 0.5720 0.5720 0.8205
5 La 0.7395 0.7395 0.3298
6 La 0.9460 0.9460 0.6342
7 Co 0.3989 0.3989 0.4418
8 Co 0.6011 0.6011 0.5582
9 Pb 0.1567 0.1567 0.0416
10 Pb 0.8433 0.8433 0.9584

Properties
- formation energy (eV/atom) = -0.248
- offset from the most stable computed form (meV per atom) = 147
- SG = C2/m


# 3
SbPtSe2: optimized geometry, PBE.

Lattice parameters (Å, degrees): 4.8488 4.8488 4.8488 120.09 120.09 89.84
Atoms (fractional coordinates):
1 Sb 0.0000 0.0000 0.0000
2 Pt 0.7500 0.2500 0.5000
3 Se 0.2500 0.7500 0.5000
4 Se 0.5000 0.5000 0.0000

Properties
- formation energy without anion corrections (meV per atom) = 308
- SG = I-4m2


Number 1: D(E_F) 0.45 states/eV per atom, spin magnetization 0.00 μB/atom. Number 2: D(E_F) 0.63 states/eV per atom, spin magnetization 0.00 μB/atom. Number 3: D(E_F) 0.60 states/eV per atom, spin magnetization 0.00 μB/atom.